[1]
Th3Co2 | PBE | optimized geometry

Cell lengths 6.813, 6.813, 7.316 Å; angles 62.25, 62.25, 60.00 degrees
Sites, in units of the cell vectors:
Th1 0.102 0.750 0.750
Th2 0.750 0.398 0.750
Th3 0.898 0.250 0.250
Th4 0.602 0.898 0.250
Th5 0.250 0.602 0.250
Th6 0.398 0.102 0.750
Co1 0.176 0.176 0.472
Co2 0.676 0.676 0.972
Co3 0.324 0.324 0.028
Co4 0.824 0.824 0.528

Output
As for the formation energy: -4.40 kcal/mol of atoms. For the total magnetization, the calculation gives 0.0 μB per cell.

***

[2]
TaSbCl4 | PBE | optimized geometry

Cell lengths 5.618, 5.618, 5.618 Å; angles 60.00, 60.00, 60.00 degrees
Sites, in units of the cell vectors:
Ta1 0.000 0.000 0.000
Cl1 0.879 0.374 0.374
Cl2 0.374 0.879 0.374
Cl3 0.374 0.374 0.879
Cl4 0.374 0.374 0.374
Sb1 0.750 0.750 0.750

Output
For the uncorrected formation energy, the calculation gives 916 meV per atom. For the total magnetization, the calculation gives 1.1 μB per cell.

***

[3]
La3Tb2Sm6Th | PBE | optimized geometry

Cell lengths 6.299, 6.299, 12.102 Å; angles 94.97, 94.97, 119.98 degrees
Sites, in units of the cell vectors:
Sm1 0.081 0.411 0.244
Sm2 0.411 0.081 0.244
Sm3 0.249 0.249 0.755
Sm4 0.751 0.751 0.245
Sm5 0.589 0.919 0.756
Sm6 0.919 0.589 0.756
La1 0.833 0.167 0.500
La2 0.167 0.833 0.500
La3 0.500 0.500 0.500
Tb1 0.667 0.333 0.000
Tb2 0.333 0.667 0.000
Th1 0.000 0.000 0.000

Output
As for the formation energy: 0.60 kcal/mol of atoms. For the total magnetization, the calculation gives 0.0 μB per cell.

***

[4]
Na2CoCl | PBE | optimized geometry

Cell lengths 5.129, 5.129, 5.129 Å; angles 60.00, 60.00, 60.00 degrees
Sites, in units of the cell vectors:
Na1 0.750 0.750 0.750
Na2 0.250 0.250 0.250
Cl1 0.000 0.000 0.000
Co1 0.500 0.500 0.500

Output
For the uncorrected formation energy, the calculation gives 50 meV per atom. For the total magnetization, the calculation gives 2.0 μB per cell. The calculation puts the polymorph energy (0 for the lowest one) at 45.4 meV/atom.